Density functional theory data (GGA+U) for crystalline K3FeO at its relaxed geometry.

Summary:
Raw total energy (eV per atom): -2.945
DOS(E_F) (states/eV per atom): 0.000
Energy relative to the lowest polymorph listed for this composition (eV/atom): 0.000

abc: 5.4055 5.4055 5.4055
angles: 90.00 90.00 90.00
Closest atoms and distances in Å follow each position.
Space group Pm-3m (No. 221)
Asymmetric unit:
K  0.0000  0.0000  0.5000 x3  2 O 2.70
Fe  0.5000  0.5000  0.5000 x1  12 K 3.82
O  0.0000  0.0000  0.0000 x1  6 K 2.70